1.
The following is a PBE-GGA calculation of an optimized crystal structure of CdAs2Se4, from the Alexandria database.

Summary:
Total magnetization   0.00 μB/f.u.
Energy relative to the elements, uncorrected   -0.1286 eV per atom
SG   No. 63
Crystal system   orthorhombic

Cell lengths 3.8914, 6.5873, 13.5491 Å; angles 90.00, 90.00, 107.18 degrees
Last column: nearest neighbours and their distance in Å.
Sites, in units of the cell vectors:
Cd: 0.4034 0.8068 0.2500  2 Se 2.67
Se: 0.7724 0.5448 0.3834  3 As 2.69-2.70
Se: 0.9515 0.9030 0.7500  2 Cd 2.67, 2 As 2.75
Se: 0.0485 0.0970 0.2500  2 Cd 2.67, 2 As 2.75
Se: 0.5000 0.0000 0.0000  4 As 2.73
As: 0.8643 0.7287 0.5637  6 Se 2.69-2.75
As: 0.1357 0.2713 0.0637  6 Se 2.69-2.75
As: 0.8643 0.7287 0.9363  6 Se 2.69-2.75
Se: 0.2276 0.4552 0.6166  3 As 2.69-2.70
Cd: 0.5966 0.1932 0.7500  2 Se 2.67
Se: 0.5000 0.0000 0.5000  4 As 2.73
Se: 0.7724 0.5448 0.1166  3 As 2.69-2.70
Se: 0.2276 0.4552 0.8834  3 As 2.69-2.70
As: 0.1357 0.2713 0.4363  6 Se 2.69-2.75

***

2.
The following is a PBE-GGA calculation of an optimized crystal structure of Rb3Pm3PbO8, from the Alexandria database.

Summary:
Total magnetization   0.00 μB/f.u.
Energy relative to the elements, uncorrected   -2.2664 eV per atom
SG   No. 166
Crystal system   trigonal

Cell lengths 7.1627, 7.1634, 7.8452 Å; angles 117.18, 90.00, 120.00 degrees
Last column: nearest neighbours and their distance in Å.
Sites, in units of the cell vectors:
O: 0.2161 0.4323 0.6735  1 Pb 2.28, 2 Pm 2.42
O: 0.2759 0.5518 0.3279  3 Pm 2.36-2.37
O: 0.7413 0.9574 0.6734  1 Pb 2.28, 2 Pm 2.42
Rb: 0.5000 0.5000 0.0000  6 O 2.97-3.01
Pm: 0.5000 0.5000 0.5000  6 O 2.36-2.42
Rb: 0.0000 0.0000 0.0000  6 O 2.97-3.01
O: 0.2587 0.0426 0.3266  1 Pb 2.28, 2 Pm 2.42
O: 0.7241 0.4482 0.6721  3 Pm 2.36-2.37
Pb: 0.0000 0.0000 0.5000  6 O 2.28
Pm: 0.5000 0.0000 0.5000  6 O 2.37-2.42
Rb: 0.0000 0.5000 0.0000  6 O 2.97-3.01
O: 0.7839 0.0426 0.3266  1 Pb 2.28, 2 Pm 2.42
O: 0.7839 0.5677 0.3265  1 Pb 2.28, 2 Pm 2.42
O: 0.2161 0.9574 0.6734  1 Pb 2.28, 2 Pm 2.42
Pm: 0.0000 0.5000 0.5000  6 O 2.36-2.42

***

3.
The following is a PBE-GGA calculation of an optimized crystal structure of Tb2In2Hg, from the Alexandria database.

Summary:
Total magnetization   0.00 μB/f.u.
SG   No. 38
Crystal system   orthorhombic
ΔE_f   -42.8 kJ per mole of atoms

Cell lengths 3.4716, 4.7594, 8.1254 Å; angles 107.03, 90.00, 90.00 degrees
Last column: nearest neighbours and their distance in Å.
Sites, in units of the cell vectors:
Tb: 0.0000 0.6949 0.3899  4 Hg 3.22, 6 In 3.39-3.43, 3 Tb 3.47-3.50
In: 0.5000 0.5072 0.0145  2 Hg 2.88, 1 In 3.09
Hg: 0.5000 0.1113 0.2227  3 In 2.88-3.06, 4 Tb 3.22
In: 0.5000 0.3083 0.6165  1 Hg 3.06, 1 In 3.09, 4 Tb 3.42
Tb: 0.0000 0.9203 0.8406  8 In 3.24-3.42, 2 Hg 3.44, 3 Tb 3.47-3.50

***

4.
The following is a PBE-GGA calculation of an optimized crystal structure of Nd3Sb2Te, from the Alexandria database.

Summary:
Total magnetization   0.00 μB/f.u.
Energy relative to the elements, uncorrected   -1.1964 eV per atom
SG   No. 12
Crystal system   monoclinic

Cell lengths 4.3971, 8.9858, 10.9196 Å; angles 109.27, 90.00, 104.16 degrees
Last column: nearest neighbours and their distance in Å.
Sites, in units of the cell vectors:
Te: 0.5000 0.0000 0.0000  6 Nd 3.23-3.25
Nd: 0.3566 0.7133 0.4753  4 Sb 3.17-3.22, 2 Te 3.27
Nd: 0.9704 0.9407 0.1965  3 Sb 3.17-3.21, 3 Te 3.18-3.23
Sb: 0.6650 0.3301 0.8294  6 Nd 3.17-3.22
Te: 0.0000 0.0000 0.5000  6 Nd 3.18-3.27
Nd: 0.0296 0.0593 0.8035  3 Sb 3.17-3.21, 3 Te 3.18-3.23
Sb: 0.3350 0.6699 0.1706  6 Nd 3.17-3.22
Nd: 0.6434 0.2867 0.5247  4 Sb 3.17-3.22, 2 Te 3.27
Nd: 0.6971 0.3943 0.1380  5 Sb 3.19-3.22, 1 Te 3.25
Sb: 0.1652 0.3304 0.3292  6 Nd 3.17-3.21
Sb: 0.8348 0.6696 0.6708  6 Nd 3.17-3.21
Nd: 0.3029 0.6057 0.8620  5 Sb 3.19-3.22, 1 Te 3.25

***

5.
The following is a PBE-GGA calculation of an optimized crystal structure of ZnFe2Cl, from the Alexandria database.

Summary:
Total magnetization   4.85 μB/f.u.
Energy relative to the elements, uncorrected   0.6615 eV per atom
SG   No. 216
Crystal system   cubic

Cell lengths 4.3341, 4.3341, 4.3341 Å; angles 60.00, 60.00, 60.00 degrees
Last column: nearest neighbours and their distance in Å.
Sites, in units of the cell vectors:
Zn: 0.7500 0.7500 0.7500  4 Fe 2.65, 4 Cl 2.65
Fe: 0.0000 0.0000 0.0000  4 Fe 2.65, 4 Zn 2.65
Fe: 0.2500 0.2500 0.2500  4 Cl 2.65, 4 Fe 2.65
Cl: 0.5000 0.5000 0.5000  4 Zn 2.65, 4 Fe 2.65

***

6.
The following is a PBE-GGA calculation of an optimized crystal structure of Mg8Ga2Hg, from the Alexandria database.

Summary:
Total magnetization   0.00 μB/f.u.
SG   No. 71
Crystal system   orthorhombic
ΔE_f   -10.1 kJ per mole of atoms

Cell lengths 4.6831, 7.1894, 8.1315 Å; angles 116.24, 106.74, 90.00 degrees
Last column: nearest neighbours and their distance in Å.
Sites, in units of the cell vectors:
Mg: 0.1595 0.1595 0.3190  8 Mg 3.01-3.08, 2 Ga 3.19, 2 Hg 3.22
Mg: 0.6558 0.4331 0.3116  3 Ga 2.86-2.98, 1 Hg 2.93, 6 Mg 3.01-3.20
Mg: 0.3442 0.5669 0.6884  3 Ga 2.86-2.98, 1 Hg 2.93, 6 Mg 3.01-3.20
Mg: 0.3442 0.1215 0.6885  3 Ga 2.86-2.98, 1 Hg 2.93, 6 Mg 3.01-3.20
Mg: 0.0000 0.2914 0.0000  2 Ga 2.95, 7 Mg 3.00-3.18, 2 Hg 3.14
Ga: 0.1836 0.6836 0.3673  10 Mg 2.86-3.19
Mg: 0.8405 0.8405 0.6810  8 Mg 3.01-3.08, 2 Ga 3.19, 2 Hg 3.22
Ga: 0.8164 0.3164 0.6327  10 Mg 2.86-3.19
Mg: 0.6558 0.8785 0.3115  3 Ga 2.86-2.98, 1 Hg 2.93, 6 Mg 3.01-3.20
Mg: 0.0000 0.7086 0.0000  2 Ga 2.95, 7 Mg 3.00-3.18, 2 Hg 3.14
Hg: 0.5000 0.0000 0.0000  12 Mg 2.93-3.22